Entry a
This record from Alexandria via LeMat-Bulk describes PrTlGa2 after structural relaxation. The functional is PBE.

The density of states at the Fermi level comes out at 8.34 states/eV/cell.

The space group is Fm-3m (No. 225) and the conventional cell measures 7.3160, 7.3160 and 7.3160 Å, with angles of 90.00, 90.00 and 90.00 degrees. The distinct sites, in fractional coordinates, are Pr at (0.0000, 0.0000, 0.0000), Tl at (0.0000, 0.0000, 0.5000) and Ga at (0.2500, 0.2500, 0.2500).

---

Entry b
This record from Alexandria via LeMat-Bulk describes PrTlGa2 after structural relaxation. The functional is PBE.

The density of states at the Fermi level comes out at 2.26 states/eV/cell.

The space group is P4/mmm (No. 123) and the conventional cell measures 4.6382, 4.6382 and 4.4525 Å, with angles of 90.00, 90.00 and 90.00 degrees. The distinct sites, in fractional coordinates, are Pr at (0.0000, 0.0000, 0.0000), Tl at (0.5000, 0.5000, 0.0000) and Ga at (0.0000, 0.5000, 0.5000).

---

Which structure is most stable? entry b, by 0.182 eV/atom over the runner-up.

---

Entry a
This record from Alexandria via LeMat-Bulk describes PrTmGa2 after structural relaxation. The functional is PBE.

The density of states at the Fermi level comes out at 14.99 states/eV/cell.

The space group is Pnma (No. 62) and the conventional cell measures 8.4685, 4.2303 and 11.3307 Å, with angles of 90.00, 90.00 and 90.00 degrees. The distinct sites, in fractional coordinates, are Pr at (0.1385, 0.2500, 0.1389), Tm at (0.0109, 0.7500, 0.3832), Ga at (0.1433, 0.2500, 0.8390) and Ga at (0.2496, 0.2500, 0.4411).

---

Entry b
This record from Alexandria via LeMat-Bulk describes PrTmGa2 after structural relaxation. The functional is PBE.

The density of states at the Fermi level comes out at 6.06 states/eV/cell.

The space group is Amm2 (No. 38) and the conventional cell measures 4.1112, 4.4027 and 11.1090 Å, with angles of 90.00, 90.00 and 90.00 degrees. The distinct sites, in fractional coordinates, are Pr at (0.0000, 0.0000, 0.0000), Tm at (0.5000, 0.0000, 0.7219), Ga at (0.0000, 0.0000, 0.2800) and Ga at (0.5000, 0.0000, 0.4281).

---

Which structure is most stable? entry b, by 0.067 eV/atom over the runner-up.

---

Entry a
This record from Alexandria via LeMat-Bulk describes PrTmGa2 after structural relaxation. The functional is PBE.

The density of states at the Fermi level comes out at 7.16 states/eV/cell.

The space group is R-3m (No. 166, hexagonal axes) and the conventional cell measures 3.7018, 3.7018 and 26.4811 Å, with angles of 90.00, 90.00 and 120.00 degrees. The distinct sites, in fractional coordinates, are Pr at (0.0000, 0.0000, 0.0000), Tm at (0.0000, 0.0000, 0.5000) and Ga at (0.0000, 0.0000, 0.2460).

---

Entry b
This record from Alexandria via LeMat-Bulk describes PrTmGa2 after structural relaxation. The functional is PBE.

The density of states at the Fermi level comes out at 4.60 states/eV/cell.

The space group is Fm-3m (No. 225) and the conventional cell measures 7.2563, 7.2563 and 7.2563 Å, with angles of 90.00, 90.00 and 90.00 degrees. The distinct sites, in fractional coordinates, are Pr at (0.0000, 0.0000, 0.0000), Tm at (0.0000, 0.0000, 0.5000) and Ga at (0.2500, 0.2500, 0.2500).

---

Entry c
This record from Alexandria via LeMat-Bulk describes PrTmGa2 after structural relaxation. The functional is PBE.

The density of states at the Fermi level comes out at 1.87 states/eV/cell.

The space group is P4/mmm (No. 123) and the conventional cell measures 3.6271, 3.6271 and 7.2247 Å, with angles of 90.00, 90.00 and 90.00 degrees. The distinct sites, in fractional coordinates, are Pr at (0.0000, 0.0000, 0.0000), Tm at (0.0000, 0.0000, 0.5000) and Ga at (0.5000, 0.5000, 0.2725).

---

Which structure is most stable? entry c, by 0.021 eV/atom over the runner-up.

---

Entry a
This record from Alexandria via LeMat-Bulk describes PrTm3Ga2 after structural relaxation. The functional is PBE.

The density of states at the Fermi level comes out at 20.00 states/eV/cell.

The space group is C2/m (No. 12) and the conventional cell measures 15.9451, 5.1021 and 8.8002 Å, with angles of 90.00, 117.28 and 90.00 degrees. The distinct sites, in fractional coordinates, are Pr at (0.1315, 0.0000, 0.1885), Tm at (0.0639, 0.0000, 0.7166), Tm at (0.1195, 0.5000, 0.5096), Tm at (0.1880, 0.5000, 0.9861), Ga at (0.0113, 0.5000, 0.1507) and Ga at (0.2240, 0.0000, 0.6158).

---

Entry b
This record from Alexandria via LeMat-Bulk describes PrTm3Ga2 after structural relaxation. The functional is PBE.

The density of states at the Fermi level comes out at 10.32 states/eV/cell.

The space group is Pmc2_1 (No. 26) and the conventional cell measures 4.8992, 9.5314 and 6.6217 Å, with angles of 90.00, 90.00 and 90.00 degrees. The distinct sites, in fractional coordinates, are Pr at (0.0000, 0.0497, 0.0000), Tm at (0.0000, 0.3247, 0.6204), Tm at (0.5000, 0.1924, 0.2895), Tm at (0.5000, 0.4466, 0.9172), Ga at (0.0000, 0.3666, 0.1688) and Ga at (0.5000, 0.1430, 0.7383).

---

Which structure is most stable? entry b, by 0.080 eV/atom over the runner-up.

---

Entry a
This record from Alexandria via LeMat-Bulk describes Pr2TmGa2 after structural relaxation. The functional is PBE.

The density of states at the Fermi level comes out at 12.43 states/eV/cell.

The space group is P4/mbm (No. 127) and the conventional cell measures 7.7466, 7.7466 and 4.5623 Å, with angles of 90.00, 90.00 and 90.00 degrees. The distinct sites, in fractional coordinates, are Pr at (0.1747, 0.3253, 0.0000), Tm at (0.0000, 0.0000, 0.5000) and Ga at (0.1199, 0.6199, 0.5000).

---

Entry b
This record from Alexandria via LeMat-Bulk describes Pr2TmGa2 after structural relaxation. The functional is PBE.

The density of states at the Fermi level comes out at 17.70 states/eV/cell.

The space group is C2/m (No. 12) and the conventional cell measures 12.0965, 4.6690 and 11.1938 Å, with angles of 90.00, 119.90 and 90.00 degrees. The distinct sites, in fractional coordinates, are Pr at (0.0236, 0.0000, 0.1869), Pr at (0.1894, 0.0000, 0.6036), Tm at (0.2084, 0.5000, 0.8634), Ga at (0.0343, 0.5000, 0.4051) and Ga at (0.1247, 0.5000, 0.0720).

---

Which structure is most stable? entry a, by 0.040 eV/atom over the runner-up.

---

Entry a
This record from Alexandria via LeMat-Bulk describes PrTmGa4 after structural relaxation. The functional is PBE.

The density of states at the Fermi level comes out at 18.58 states/eV/cell.

The space group is F-43m (No. 216) and the conventional cell measures 7.8826, 7.8826 and 7.8826 Å, with angles of 90.00, 90.00 and 90.00 degrees. The distinct sites, in fractional coordinates, are Pr at (0.0000, 0.0000, 0.0000), Tm at (0.2500, 0.2500, 0.7500) and Ga at (0.1248, 0.1248, 0.3752).

---

Entry b
This record from Alexandria via LeMat-Bulk describes PrTmGa4 after structural relaxation. The functional is PBE.

The density of states at the Fermi level comes out at 2.93 states/eV/cell.

The space group is P6/mmm (No. 191) and the conventional cell measures 4.2399, 4.2399 and 8.3870 Å, with angles of 90.00, 90.00 and 120.00 degrees. The distinct sites, in fractional coordinates, are Pr at (0.0000, 0.0000, 0.0000), Tm at (0.0000, 0.0000, 0.5000) and Ga at (0.3333, 0.6667, 0.2626).

---

Which structure is most stable? entry b, by 0.118 eV/atom over the runner-up.

---

Entry a
This record from Alexandria via LeMat-Bulk describes Pr3TmGa2 after structural relaxation. The functional is PBE.

The density of states at the Fermi level comes out at 14.88 states/eV/cell.

The space group is C2/m (No. 12) and the conventional cell measures 16.7198, 5.1612 and 8.0775 Å, with angles of 90.00, 98.36 and 90.00 degrees. The distinct sites, in fractional coordinates, are Pr at (0.0560, 0.0000, 0.3186), Pr at (0.1227, 0.5000, 0.0316), Pr at (0.1808, 0.5000, 0.4964), Tm at (0.1648, 0.0000, 0.7779), Ga at (0.0337, 0.5000, 0.6662) and Ga at (0.2189, 0.0000, 0.1642).

---

Entry b
This record from Alexandria via LeMat-Bulk describes Pr3TmGa2 after structural relaxation. The functional is PBE.

The density of states at the Fermi level comes out at 12.49 states/eV/cell.

The space group is Pmc2_1 (No. 26) and the conventional cell measures 5.1615, 9.7597 and 6.6667 Å, with angles of 90.00, 90.00 and 90.00 degrees. The distinct sites, in fractional coordinates, are Pr at (0.0000, 0.0475, 0.0000), Pr at (0.0000, 0.3375, 0.3348), Pr at (0.5000, 0.1793, 0.7032), Tm at (0.5000, 0.4446, 0.0364), Ga at (0.0000, 0.3513, 0.8205) and Ga at (0.5000, 0.1503, 0.2258).

---

Which structure is most stable? entry b, by 0.035 eV/atom over the runner-up.

---

Entry a
This record from Alexandria via LeMat-Bulk describes PrYGa4 after structural relaxation. The functional is PBE.

The density of states at the Fermi level comes out at 5.13 states/eV/cell.

The space group is Immm (No. 71) and the conventional cell measures 4.2645, 7.3747 and 8.4509 Å, with angles of 90.00, 90.00 and 90.00 degrees. The distinct sites, in fractional coordinates, are Pr at (0.0000, 0.0000, 0.0000), Y at (0.0000, 0.0000, 0.5000) and Ga at (0.0000, 0.3334, 0.2479).

---

Entry b
This record from Alexandria via LeMat-Bulk describes PrYGa4 after structural relaxation. The functional is PBE.

The density of states at the Fermi level comes out at 17.00 states/eV/cell.

The space group is F-43m (No. 216) and the conventional cell measures 7.9178, 7.9178 and 7.9178 Å, with angles of 90.00, 90.00 and 90.00 degrees. The distinct sites, in fractional coordinates, are Pr at (0.0000, 0.0000, 0.0000), Y at (0.2500, 0.2500, 0.7500) and Ga at (0.1249, 0.1249, 0.3751).

---

Entry c
This record from Alexandria via LeMat-Bulk describes PrYGa4 after structural relaxation. The functional is PBE.

The density of states at the Fermi level comes out at 6.67 states/eV/cell.

The space group is I-4m2 (No. 119) and the conventional cell measures 4.2398, 4.2398 and 14.8240 Å, with angles of 90.00, 90.00 and 90.00 degrees. The distinct sites, in fractional coordinates, are Pr at (0.0000, 0.0000, 0.0000), Y at (0.0000, 0.5000, 0.7500), Ga at (0.0000, 0.0000, 0.4159) and Ga at (0.0000, 0.5000, 0.1680).

---

Which structure is most stable? entry a, by 0.010 eV/atom over the runner-up.

---

Entry a
This record from Alexandria via LeMat-Bulk describes PrYGa after structural relaxation. The functional is PBE.

The density of states at the Fermi level comes out at 1.49 states/eV/cell.

The space group is P3m1 (No. 156) and the conventional cell measures 5.0434, 5.0434 and 3.8207 Å, with angles of 90.00, 90.00 and 120.00 degrees. The distinct sites, in fractional coordinates, are Pr at (0.0000, 0.0000, 0.0000), Y at (0.3333, 0.6667, 0.5395) and Ga at (0.6667, 0.3333, 0.3486).

---

Entry b
This record from Alexandria via LeMat-Bulk describes PrYGa after structural relaxation. The functional is PBE.

The density of states at the Fermi level comes out at 5.13 states/eV/cell.

The space group is I4mm (No. 107) and the conventional cell measures 3.5526, 3.5526 and 13.4243 Å, with angles of 90.00, 90.00 and 90.00 degrees. The distinct sites, in fractional coordinates, are Pr at (0.0000, 0.0000, 0.0000), Y at (0.0000, 0.0000, 0.2866) and Ga at (0.0000, 0.0000, 0.6517).

---

Which structure is most stable? entry b, by 0.077 eV/atom over the runner-up.

---

Entry a
This record from Alexandria via LeMat-Bulk describes PrYGa after structural relaxation. The functional is PBE.

The density of states at the Fermi level comes out at 19.14 states/eV/cell.

The space group is F-43m (No. 216) and the conventional cell measures 7.1680, 7.1680 and 7.1680 Å, with angles of 90.00, 90.00 and 90.00 degrees. The distinct sites, in fractional coordinates, are Pr at (0.0000, 0.0000, 0.0000), Y at (0.0000, 0.0000, 0.5000) and Ga at (0.2500, 0.2500, 0.2500).

---

Entry b
This record from Alexandria via LeMat-Bulk describes PrYGa after structural relaxation. The functional is PBE.

The density of states at the Fermi level comes out at 10.14 states/eV/cell.

The space group is P-6m2 (No. 187) and the conventional cell measures 4.9543, 4.9543 and 8.7917 Å, with angles of 90.00, 90.00 and 120.00 degrees. The distinct sites, in fractional coordinates, are Pr at (0.0000, 0.0000, 0.2250), Y at (0.3333, 0.6667, 0.0000), Y at (0.6667, 0.3333, 0.5000) and Ga at (0.3333, 0.6667, 0.3522).

---

Which structure is most stable? entry a, by 0.117 eV/atom over the runner-up.

---

Entry a
This record from Alexandria via LeMat-Bulk describes PrYGa after structural relaxation. The functional is PBE.

The density of states at the Fermi level comes out at 10.30 states/eV/cell.

The space group is P-62m (No. 189) and the conventional cell measures 8.0596, 8.0596 and 4.5106 Å, with angles of 90.00, 90.00 and 120.00 degrees. The distinct sites, in fractional coordinates, are Pr at (0.0000, 0.6016, 0.0000), Y at (0.0000, 0.2663, 0.5000), Ga at (0.0000, 0.0000, 0.0000) and Ga at (0.3333, 0.6667, 0.5000).

---

Entry b
This record from Alexandria via LeMat-Bulk describes PrYGa after structural relaxation. The functional is PBE.

The density of states at the Fermi level comes out at 9.94 states/eV/cell.

The space group is R3m (No. 160, hexagonal axes) and the conventional cell measures 3.5666, 3.5666 and 25.2255 Å, with angles of 90.00, 90.00 and 120.00 degrees. The distinct sites, in fractional coordinates, are Pr at (0.0000, 0.0000, 0.0000), Y at (0.0000, 0.0000, 0.5519) and Ga at (0.0000, 0.0000, 0.4347).

---

Which structure is most stable? entry a, by 0.467 eV/atom over the runner-up.